# 1
Rb3SnGe2Cl9 | PBE | relaxed

- Space-group type: P-3m1
- Uncorrected energy: -52.64 eV for the cell shown
- Magnetic moment: 0.0 μB per formula unit
- Raw formation energy: -1.325 eV per atom

abc: 7.612 7.612 9.373
angles: 90.00 90.00 120.00
Atoms (fractional coordinates):
Ge: 0.333 0.667 0.162
Ge: 0.667 0.333 0.838
Rb: 0.333 0.667 0.685
Rb: 0.667 0.333 0.315
Rb: 0.000 0.000 0.000
Cl: 0.829 0.658 0.675
Cl: 0.000 0.500 0.000
Cl: 0.342 0.171 0.675
Cl: 0.658 0.829 0.325
Cl: 0.829 0.171 0.675
Cl: 0.500 0.000 0.000
Cl: 0.171 0.829 0.325
Cl: 0.500 0.500 0.000
Cl: 0.171 0.342 0.325
Sn: 0.000 0.000 0.500

# 2
Y2PO | PBE | relaxed

- Space-group type: R-3m
- Uncorrected energy: -31.81 eV for the cell shown
- Magnetic moment: 0.0 μB per formula unit
- Excess energy over the best structure of this formula in the dataset: 123.5 meV per atom
- Raw formation energy: -2.130 eV per atom

abc: 3.745 3.745 6.407
angles: 73.00 73.00 60.00
Atoms (fractional coordinates):
Y: 0.242 0.242 0.274
Y: 0.758 0.758 0.726
P: 0.000 0.000 0.000
O: 0.500 0.500 0.500

# 3
Er3Cd2Co2 | PBE | relaxed

- Space-group type: Cmmm
- DFT formation energy: -2.00 eV per formula unit
- Uncorrected energy: -31.73 eV for the cell shown
- Magnetic moment: 1.4 μB per formula unit

abc: 3.786 3.794 10.803
angles: 90.00 79.91 90.00
Atoms (fractional coordinates):
Co: 0.723 0.500 0.554
Co: 0.277 0.500 0.446
Er: 0.176 0.000 0.648
Er: 0.000 0.000 0.000
Er: 0.824 0.000 0.352
Cd: 0.413 0.500 0.175
Cd: 0.587 0.500 0.825

# 4
HgBiH2Br | PBE | relaxed

- Space-group type: P4/mmm
- Uncorrected energy: -9.48 eV for the cell shown
- Magnetic moment: 0.1 μB per formula unit

abc: 4.054 8.258 4.054
angles: 90.00 90.00 90.00
Atoms (fractional coordinates):
H: 0.000 0.000 0.500
H: 0.500 0.000 0.000
Br: 0.000 0.000 0.000
Hg: 0.000 0.500 0.000
Bi: 0.500 0.500 0.500

# 5
MgBeCr | PBE | relaxed

- Space-group type: Cmcm
- DFT formation energy: 0.83 eV per formula unit
- Uncorrected energy: -56.46 eV for the cell shown
- Magnetic moment: 0.3 μB per formula unit
- Excess energy over the best structure of this formula in the dataset: 171.9 meV per atom

abc: 4.202 9.425 4.218
angles: 90.00 90.00 90.00
Atoms (fractional coordinates):
Be: 0.000 0.956 0.750
Be: 0.500 0.456 0.750
Be: 0.500 0.544 0.250
Be: 0.000 0.044 0.250
Mg: 0.000 0.782 0.250
Mg: 0.500 0.718 0.750
Mg: 0.500 0.282 0.250
Mg: 0.000 0.218 0.750
Cr: 0.500 0.000 0.500
Cr: 0.000 0.500 0.000
Cr: 0.000 0.500 0.500
Cr: 0.500 0.000 0.000

# 6
Ac5In5Ag2 | PBE | relaxed

- Space-group type: C2/m
- DFT formation energy: -4.63 eV per formula unit
- Uncorrected energy: -44.57 eV for the cell shown
- Magnetic moment: 0.0 μB per formula unit

abc: 5.156 9.015 9.079
angles: 74.97 73.50 73.38
Atoms (fractional coordinates):
In: 0.756 0.259 0.229
In: 0.244 0.741 0.771
In: 0.039 0.254 0.668
In: 0.000 0.000 0.000
In: 0.961 0.746 0.332
Ac: 0.671 0.993 0.666
Ac: 0.372 0.321 0.935
Ac: 0.628 0.679 0.065
Ac: 0.329 0.007 0.334
Ac: 0.500 0.500 0.500
Ag: 0.152 0.420 0.276
Ag: 0.848 0.580 0.724

# 7
Li4Al3Ag4 | PBE | relaxed

- Space-group type: P-1
- DFT formation energy: -1.39 eV per formula unit
- Uncorrected energy: -31.68 eV for the cell shown
- Magnetic moment: 0.0 μB per formula unit
- Excess energy over the best structure of this formula in the dataset: 43.4 meV per atom

abc: 4.014 9.345 8.380
angles: 136.52 118.49 64.64
Atoms (fractional coordinates):
Ag: 0.331 0.187 0.018
Ag: 0.669 0.813 0.982
Ag: 0.180 0.811 0.492
Ag: 0.820 0.189 0.508
Li: 0.572 0.179 0.751
Li: 0.428 0.821 0.249
Li: 0.781 0.495 0.278
Li: 0.219 0.505 0.722
Al: 0.097 0.140 0.237
Al: 0.903 0.860 0.763
Al: 0.000 0.500 0.000

# 8
CeMgS2 | PBE | relaxed

- Space-group type: R-3m
- Uncorrected energy: -22.15 eV for the cell shown
- Magnetic moment: 1.4 μB per formula unit
- Raw formation energy: -1.592 eV per atom

abc: 3.804 3.804 6.987
angles: 74.21 74.21 60.00
Atoms (fractional coordinates):
S: 0.739 0.739 0.782
S: 0.261 0.261 0.218
Ce: 0.500 0.500 0.500
Mg: 0.000 0.000 0.000

# 9
Ni5W3 | PBE | relaxed

- Space-group type: Amm2
- DFT formation energy: 1.28 eV per formula unit
- Uncorrected energy: -132.97 eV for the cell shown
- Magnetic moment: 0.0 μB per formula unit
- Excess energy over the best structure of this formula in the dataset: 99.2 meV per atom

abc: 6.879 8.219 4.682
angles: 90.00 90.00 53.35
Atoms (fractional coordinates):
Ni: 0.606 0.633 0.494
Ni: 0.000 0.260 0.750
Ni: 0.394 0.238 0.006
Ni: 0.719 0.306 0.250
Ni: 0.606 0.633 0.006
Ni: 0.210 0.831 0.750
Ni: 0.281 0.025 0.250
Ni: 0.394 0.238 0.494
Ni: 0.789 0.041 0.750
Ni: 0.000 0.957 0.250
W: 0.000 0.418 0.250
W: 0.489 0.938 0.750
W: 0.260 0.596 0.250
W: 0.740 0.856 0.250
W: 0.000 0.604 0.750
W: 0.512 0.426 0.750

# 10
LiZrSe2 | PBE | relaxed

- Space-group type: P4/mmm
- Uncorrected energy: -21.96 eV for the cell shown
- Magnetic moment: 0.0 μB per formula unit
- Raw formation energy: -1.133 eV per atom

abc: 3.366 3.366 6.969
angles: 90.00 90.00 90.00
Atoms (fractional coordinates):
Zr: 0.500 0.500 0.250
Se: 0.000 0.000 0.483
Se: 0.000 0.000 0.017
Li: 0.500 0.500 0.750

# 11
AlCuBi2 | PBE | relaxed

- Space-group type: R-3m
- DFT formation energy: 1.69 eV per formula unit
- Uncorrected energy: -13.91 eV for the cell shown
- Magnetic moment: 0.0 μB per formula unit
- Excess energy over the best structure of this formula in the dataset: 119.3 meV per atom

abc: 3.899 3.899 9.058
angles: 77.57 77.57 60.00
Atoms (fractional coordinates):
Cu: 0.000 0.000 0.000
Bi: 0.098 0.098 0.707
Bi: 0.902 0.902 0.293
Al: 0.500 0.500 0.500

# 12
PuMgTlBi | PBE | relaxed

- Space-group type: F-43m
- DFT formation energy: -0.45 eV per formula unit
- Uncorrected energy: -22.62 eV for the cell shown
- Magnetic moment: 5.9 μB per formula unit
- Excess energy over the best structure of this formula in the dataset: 98.5 meV per atom

abc: 5.377 5.377 5.377
angles: 60.00 60.00 60.00
Atoms (fractional coordinates):
Tl: 0.000 0.000 0.000
Mg: 0.750 0.750 0.750
Pu: 0.250 0.250 0.250
Bi: 0.500 0.500 0.500